Record 1
The following is a DFT calculation (PBE-GGA) of crystalline Dy6Ni2Rh at its relaxed geometry.

POSCAR file:
```
Dy6Ni2Rh
1.0
6.416 0.000 0.000
0.000 7.095 0.000
-5.931 0.000 10.069
Dy Ni Rh
12 4 2
Cartesian
-1.977 1.305 4.287
-4.943 2.242 9.322
-0.949 4.770 4.238
-3.915 5.873 9.273
1.154 0.367 2.487
-1.812 3.180 7.522
2.297 3.915 2.547
-0.669 6.728 7.582
4.400 1.222 0.797
1.434 2.325 5.831
5.428 4.853 0.747
2.462 5.790 5.782
-3.215 0.805 7.403
-0.249 2.743 2.368
0.734 4.353 7.701
3.700 6.290 2.666
0.242 0.000 5.035
3.208 3.548 0.000
```

Its density of states at the Fermi level is 0.825 states/eV per atom. For the formation energy from the elements, the calculation gives -0.356 eV/atom. As for the energy above the most stable polymorph in this dataset: 53.9 meV/atom. The value obtained for the density is 8.66 g cm⁻³.

---

Record 2
The following is a DFT calculation (PBE-GGA) of crystalline DyNi5Rh at its relaxed geometry.

POSCAR file:
```
DyNi5Rh
1.0
7.871 0.000 0.000
0.000 4.864 0.000
0.000 0.000 9.919
Dy Ni Rh
4 20 4
Cartesian
1.916 1.216 0.603
2.020 3.648 5.562
5.852 1.216 4.357
5.955 3.648 9.317
0.483 3.648 0.958
0.549 0.020 3.083
0.549 2.412 3.083
0.772 1.216 5.161
1.420 1.216 7.494
2.515 3.648 2.534
3.163 3.648 0.201
3.387 2.452 8.043
3.387 4.844 8.043
3.453 1.216 5.918
4.418 3.648 4.001
4.485 0.020 1.876
4.485 2.412 1.876
4.708 1.216 9.718
5.356 1.216 7.385
6.451 3.648 2.425
7.099 3.648 4.758
7.322 2.452 6.836
7.322 4.844 6.836
7.388 1.216 8.961
1.122 3.648 8.473
2.813 1.216 3.514
5.058 3.648 6.405
6.749 1.216 1.446
```

Its density of states at the Fermi level is 1.319 states/eV per atom. For the formation energy from the elements, the calculation gives -0.257 eV/atom. The value obtained for the density is 9.78 g cm⁻³.

---

Record 3
The following is a DFT calculation (PBE-GGA) of crystalline Dy2Ni9Rh at its relaxed geometry.

POSCAR file:
```
Dy2Ni9Rh
1.0
2.448 1.414 7.950
-2.448 1.414 7.950
0.000 -2.827 7.950
Dy Ni Rh
2 9 1
Cartesian
0.000 0.000 3.159
0.000 0.000 20.690
-1.228 -0.709 9.887
0.000 0.000 7.946
0.000 -1.418 13.962
-1.228 0.709 13.962
0.000 0.000 11.925
1.228 -0.709 9.887
0.000 1.418 9.887
0.000 0.000 15.904
1.228 0.709 13.962
0.000 0.000 0.000
```

Its density of states at the Fermi level is 1.418 states/eV per atom. For the formation energy from the elements, the calculation gives -0.150 eV/atom. The value obtained for the density is 9.62 g cm⁻³.

---

Repeat the third record exactly.
The following is a DFT calculation (PBE-GGA) of crystalline Dy2Ni9Rh at its relaxed geometry.

POSCAR file:
```
Dy2Ni9Rh
1.0
2.448 1.414 7.950
-2.448 1.414 7.950
0.000 -2.827 7.950
Dy Ni Rh
2 9 1
Cartesian
0.000 0.000 3.159
0.000 0.000 20.690
-1.228 -0.709 9.887
0.000 0.000 7.946
0.000 -1.418 13.962
-1.228 0.709 13.962
0.000 0.000 11.925
1.228 -0.709 9.887
0.000 1.418 9.887
0.000 0.000 15.904
1.228 0.709 13.962
0.000 0.000 0.000
```

Its density of states at the Fermi level is 1.418 states/eV per atom. For the formation energy from the elements, the calculation gives -0.150 eV/atom. The value obtained for the density is 9.62 g cm⁻³.

---

What is the formation energy from the elements in the third record?
-0.150 eV/atom

---

The highest formation energy from the elements belongs to which entry?
Dy2Ni9Rh